Record 1
This record from Alexandria describes a relaxed structure of Rb2TaOsO6. The functional is GGA-PBE.

Geometry as CIF:
```
data_Rb2TaOsO6
_symmetry_space_group_name_H-M 'F m -3 m'
_symmetry_Int_Tables_number 225
_symmetry_space_group_name_Hall '-F 4 2 3'
_cell_length_a 8.0444
_cell_length_b 8.0444
_cell_length_c 8.0444
_cell_angle_alpha 90.00
_cell_angle_beta 90.00
_cell_angle_gamma 90.00
loop_
_atom_site_label
_atom_site_fract_x
_atom_site_fract_y
_atom_site_fract_z
Rb1 0.2500 0.2500 0.2500
Ta1 0.0000 0.0000 0.0000
Os1 0.0000 0.0000 0.5000
O1 0.0000 0.0000 0.2521
```

## Properties
**Calculated volume**: 520.6 Å³/cell

Record 2
This record from Alexandria describes a relaxed structure of Rb2TaOs3O12. The functional is GGA-PBE.

Geometry as CIF:
```
data_Rb2TaOs3O12
_symmetry_space_group_name_H-M 'R -3 m'
_symmetry_Int_Tables_number 166
_symmetry_space_group_name_Hall '-R 3 2"'
_cell_length_a 7.2361
_cell_length_b 7.2361
_cell_length_c 18.1596
_cell_angle_alpha 90.00
_cell_angle_beta 90.00
_cell_angle_gamma 120.00
loop_
_atom_site_label
_atom_site_fract_x
_atom_site_fract_y
_atom_site_fract_z
Rb1 0.0000 0.0000 0.1273
Ta1 0.0000 0.0000 0.5000
Os1 0.0000 0.5000 0.0000
O1 0.0690 0.5345 0.1053
O2 0.0815 0.5407 0.3479
```

## Properties
**Calculated volume**: 823.5 Å³/cell

Record 3
This record from Alexandria describes a relaxed structure of RbTbOs2O8. The functional is GGA-PBE.

Geometry as CIF:
```
data_RbTbOs2O8
_symmetry_space_group_name_H-M 'P -3'
_symmetry_Int_Tables_number 147
_symmetry_space_group_name_Hall '-P 3'
_cell_length_a 6.0256
_cell_length_b 6.0256
_cell_length_c 8.0040
_cell_angle_alpha 90.00
_cell_angle_beta 90.00
_cell_angle_gamma 120.00
loop_
_atom_site_label
_atom_site_fract_x
_atom_site_fract_y
_atom_site_fract_z
Rb1 0.0000 0.0000 0.0000
Tb1 0.0000 0.0000 0.5000
Os1 0.3333 0.6667 0.7545
O1 0.1649 0.3393 0.6759
O2 0.3333 0.6667 0.9754
```

## Properties
**Calculated volume**: 251.7 Å³/cell

Record 4
This record from Alexandria describes a relaxed structure of Rb2TbOsO6. The functional is GGA-PBE.

Geometry as CIF:
```
data_Rb2TbOsO6
_symmetry_space_group_name_H-M 'P -3 m 1'
_symmetry_Int_Tables_number 164
_symmetry_space_group_name_Hall '-P 3 2"'
_cell_length_a 6.4442
_cell_length_b 6.4442
_cell_length_c 5.8069
_cell_angle_alpha 90.00
_cell_angle_beta 90.00
_cell_angle_gamma 120.00
loop_
_atom_site_label
_atom_site_fract_x
_atom_site_fract_y
_atom_site_fract_z
Rb1 0.3333 0.6667 0.1205
Tb1 0.0000 0.0000 0.5000
Os1 0.0000 0.0000 0.0000
O1 0.1358 0.2717 0.7971
```

## Properties
**Calculated volume**: 208.8 Å³/cell

no.,raw formation energy (eV/atom),density (g/cm3),M_tot (Bohr magnetons per cell)
1,-1.835,8.14,4.6
2,-1.533,6.74,0.0
3,-1.549,4.97,4.0
4,-1.739,4.90,1.0